DFT (SCAN) results for P2AuOF at its PBEsol-relaxed geometry.

a = 4.7543 Å, b = 4.7543 Å, c = 3.9523 Å
α = 90.00°, β = 90.00°, γ = 90.00°
With the nearest neighbours (Å) after each atom.
Fractional positions:
P 0.0000 0.5000 0.0000  2 Au 2.38
P 0.5000 0.0000 0.0000  2 Au 2.38
Au 0.0000 0.0000 0.0000  2 O 1.98
O 0.0000 0.0000 0.5000  2 Au 1.98
F 0.5000 0.5000 0.5000  8 P 3.09, 4 O 3.36

Output
uncorrected formation energy: 892 meV/atom
symmetry: No. 123
total energy: -19.05 eV per atom